[1]
# Cs3Pm2Br9

A relaxed structure of Cs3Pm2Br9 (PBE-GGA, Alexandria via LeMat-Bulk).

a = 10.549 Å, b = 10.549 Å, c = 10.549 Å
α = 84.12°, β = 84.12°, γ = 84.12°
Element x y z (fractional)
Br (0.586, 0.421, 0.231)
Br (0.250, 0.406, 0.094)
Br (0.921, 0.086, 0.731)
Br (0.094, 0.250, 0.406)
Br (0.269, 0.079, 0.914)
Br (0.414, 0.579, 0.769)
Br (0.579, 0.769, 0.414)
Br (0.421, 0.231, 0.586)
Br (0.079, 0.914, 0.269)
Br (0.594, 0.906, 0.750)
Br (0.906, 0.750, 0.594)
Br (0.914, 0.269, 0.079)
Br (0.231, 0.586, 0.421)
Br (0.731, 0.921, 0.086)
Br (0.750, 0.594, 0.906)
Br (0.769, 0.414, 0.579)
Br (0.086, 0.731, 0.921)
Br (0.406, 0.094, 0.250)
Cs (0.085, 0.415, 0.750)
Cs (0.415, 0.750, 0.085)
Cs (0.250, 0.915, 0.585)
Cs (0.585, 0.250, 0.915)
Cs (0.750, 0.085, 0.415)
Cs (0.915, 0.585, 0.250)
Pm (0.149, 0.149, 0.149)
Pm (0.351, 0.351, 0.351)
Pm (0.649, 0.649, 0.649)
Pm (0.851, 0.851, 0.851)

Electronic total energy, eV per atom: -3.8224
Density of states at the Fermi level, states/eV/cell: 0.0

***

[2]
# Cs2PmBr5

A relaxed structure of Cs2PmBr5 (PBE-GGA, Alexandria via LeMat-Bulk).

a = 9.211 Å, b = 9.557 Å, c = 14.522 Å
α = 90.00°, β = 90.00°, γ = 90.00°
Element x y z (fractional)
Br (0.338, 0.546, 0.559)
Br (0.888, 0.750, 0.484)
Br (0.865, 0.750, 0.190)
Br (0.409, 0.750, 0.322)
Br (0.112, 0.250, 0.516)
Br (0.365, 0.250, 0.310)
Br (0.135, 0.250, 0.810)
Br (0.909, 0.250, 0.178)
Br (0.162, 0.546, 0.059)
Br (0.635, 0.750, 0.690)
Br (0.662, 0.454, 0.441)
Br (0.612, 0.750, 0.984)
Br (0.338, 0.954, 0.559)
Br (0.091, 0.750, 0.822)
Br (0.838, 0.454, 0.941)
Br (0.838, 0.046, 0.941)
Br (0.388, 0.250, 0.016)
Br (0.591, 0.250, 0.678)
Br (0.662, 0.046, 0.441)
Br (0.162, 0.954, 0.059)
Cs (0.421, 0.510, 0.831)
Cs (0.921, 0.490, 0.669)
Cs (0.079, 0.990, 0.331)
Cs (0.579, 0.010, 0.169)
Cs (0.579, 0.490, 0.169)
Cs (0.079, 0.510, 0.331)
Cs (0.921, 0.010, 0.669)
Cs (0.421, 0.990, 0.831)
Pm (0.568, 0.750, 0.495)
Pm (0.068, 0.250, 0.005)
Pm (0.432, 0.250, 0.505)
Pm (0.932, 0.750, 0.995)

Electronic total energy, eV per atom: -3.7356
Density of states at the Fermi level, states/eV/cell: 0.0

***

[3]
# CsPmBr3

A relaxed structure of CsPmBr3 (PBE-GGA, Alexandria via LeMat-Bulk).

a = 6.817 Å, b = 7.581 Å, c = 8.039 Å
α = 90.00°, β = 90.00°, γ = 90.00°
Last column: magnetic moment on the atom in μB.
Element x y z (fractional)
Br (0.250, 0.164, 0.736)  0.00
Br (0.250, 0.682, 0.000)  0.00
Br (0.250, 0.164, 0.264)  0.00
Br (0.750, 0.318, 0.000)  0.00
Br (0.750, 0.836, 0.264)  0.00
Br (0.750, 0.836, 0.736)  0.00
Pm (0.000, 0.000, 0.000)  0.13
Pm (0.500, 0.000, 0.000)  0.13
Cs (0.250, 0.740, 0.500)  0.00
Cs (0.750, 0.260, 0.500)  0.00

Offset from the most stable computed form, eV per atom: 0.045
Density of states at the Fermi level, states/eV/cell: 4.5

***

[4]
# CsPmPuBr6

A relaxed structure of CsPmPuBr6 (PBE-GGA, Alexandria via LeMat-Bulk).

a = 10.484 Å, b = 10.831 Å, c = 10.744 Å
α = 120.27°, β = 119.20°, γ = 90.00°
Last column: magnetic moment on the atom in μB.
Element x y z (fractional)
Pu (0.500, 0.000, 0.500)  5.71
Pu (0.000, 0.000, 0.500)  5.71
Br (0.420, 0.668, 0.247)  -0.01
Br (0.580, 0.332, 0.753)  -0.01
Br (0.174, 0.332, 0.753)  -0.01
Br (0.174, 0.921, 0.753)  -0.01
Br (0.580, 0.921, 0.753)  -0.01
Br (0.420, 0.079, 0.247)  -0.01
Br (0.826, 0.668, 0.247)  -0.01
Br (0.162, 0.912, 0.324)  -0.03
Br (0.432, 0.682, 0.864)  0.00
Br (0.838, 0.088, 0.676)  -0.03
Br (0.568, 0.318, 0.136)  0.00
Br (0.826, 0.079, 0.247)  -0.01
Pm (0.500, 0.500, 0.000)  0.12
Pm (0.500, 0.000, 0.000)  0.12
Cs (0.926, 0.676, 0.851)  0.00
Cs (0.074, 0.324, 0.149)  0.00

Electronic total energy, eV per atom: -4.9896
Density of states at the Fermi level, states/eV/cell: 34.3

***

[5]
# CsRb2PmBr6

A relaxed structure of CsRb2PmBr6 (PBE-GGA, Alexandria via LeMat-Bulk).

a = 8.322 Å, b = 8.925 Å, c = 11.850 Å
α = 90.00°, β = 88.24°, γ = 90.00°
Element x y z (fractional)
Br (0.221, 0.171, 0.442)
Br (0.154, 0.234, 0.088)
Br (0.143, 0.429, 0.781)
Br (0.357, 0.929, 0.719)
Br (0.846, 0.766, 0.912)
Br (0.643, 0.071, 0.281)
Br (0.279, 0.671, 0.058)
Br (0.654, 0.266, 0.588)
Br (0.346, 0.734, 0.412)
Br (0.857, 0.571, 0.219)
Br (0.721, 0.329, 0.942)
Br (0.779, 0.829, 0.558)
Pm (0.000, 0.500, 0.000)
Pm (0.500, 0.000, 0.500)
Rb (0.969, 0.076, 0.739)
Rb (0.531, 0.576, 0.761)
Rb (0.469, 0.424, 0.239)
Rb (0.031, 0.924, 0.261)
Cs (0.500, 0.000, 0.000)
Cs (0.000, 0.500, 0.500)

Electronic total energy, eV per atom: -3.6019
Density of states at the Fermi level, states/eV/cell: 0.0

***

[6]
# CsPmSnBr6

A relaxed structure of CsPmSnBr6 (PBE-GGA, Alexandria via LeMat-Bulk).

a = 7.731 Å, b = 7.731 Å, c = 7.914 Å
α = 90.00°, β = 90.00°, γ = 60.00°
Element x y z (fractional)
Br (0.011, 0.373, 0.287)
Br (0.011, 0.616, 0.713)
Br (0.616, 0.011, 0.287)
Br (0.373, 0.011, 0.713)
Br (0.373, 0.616, 0.287)
Br (0.616, 0.373, 0.713)
Cs (0.000, 0.000, 0.000)
Pm (0.333, 0.333, 0.500)
Sn (0.667, 0.667, 0.500)

Electronic total energy, eV per atom: -3.7120
Density of states at the Fermi level, states/eV/cell: 0.0

***

In μB per atom, the total moment values for the records above are, in order, 0.00 0.00 0.05 0.67 0.00 0.00.